This record from Alexandria describes a relaxed Li3Mo2P3O12 crystal. The functional is GGA+U.

- crystal system = monoclinic
- ρ (g cm⁻³) = 3.40
- SG = P2_1/c (14)
- density of states at the Fermi level (states/eV per cell) = 0.000
- energy relative to the lowest polymorph listed for this composition (kcal/mol of atoms) = 0.21

a b c (Å): 8.6956 9.0232 12.3894
angles (deg): 90.00 90.13 90.00
Closest atoms and distances in Å follow each position.
Element x y z (fractional)
1 Li 0.0690 0.4813 0.6490  4 O 1.99-2.03
2 Li 0.0840 0.9060 0.3144  4 O 1.99-2.12
3 Li 0.1777 0.2230 0.8207  4 O 2.02-2.13
4 Li 0.3223 0.7230 0.6793  4 O 2.02-2.13
5 Li 0.4160 0.4060 0.1856  4 O 1.99-2.12
6 Li 0.4310 0.9813 0.8510  4 O 1.99-2.03
7 Li 0.5690 0.0187 0.1490  4 O 1.99-2.03
8 Li 0.5840 0.5940 0.8144  4 O 1.99-2.12
9 Li 0.6777 0.2770 0.3207  4 O 2.02-2.13
10 Li 0.8223 0.7770 0.1793  4 O 2.02-2.13
11 Li 0.9160 0.0940 0.6856  4 O 1.99-2.12
12 Li 0.9310 0.5187 0.3510  4 O 1.99-2.03
13 Mo 0.2449 0.9690 0.1075  6 O 2.12-2.20
14 Mo 0.2430 0.5401 0.8908  6 O 2.09-2.18
15 Mo 0.2551 0.4690 0.3925  6 O 2.12-2.20
16 Mo 0.2570 0.0401 0.6092  6 O 2.09-2.18
17 Mo 0.7430 0.9599 0.3908  6 O 2.09-2.18
18 Mo 0.7449 0.5310 0.6075  6 O 2.12-2.20
19 Mo 0.7570 0.4599 0.1092  6 O 2.09-2.18
20 Mo 0.7551 0.0310 0.8925  6 O 2.12-2.20
21 P 0.9547 0.2511 0.4890  4 O 1.54-1.56
22 P 0.8892 0.3840 0.8451  4 O 1.51-1.58
23 P 0.8848 0.1051 0.1506  4 O 1.52-1.58
24 P 0.6152 0.6051 0.3494  4 O 1.52-1.58
25 P 0.6108 0.8840 0.6549  4 O 1.51-1.58
26 P 0.5453 0.7511 0.0110  4 O 1.54-1.56
27 P 0.4547 0.2489 0.9890  4 O 1.54-1.56
28 P 0.3892 0.1160 0.3451  4 O 1.51-1.58
29 P 0.0453 0.7489 0.5110  4 O 1.54-1.56
30 P 0.1108 0.6160 0.1549  4 O 1.51-1.58
31 P 0.3848 0.3949 0.6506  4 O 1.52-1.58
32 P 0.1152 0.8949 0.8494  4 O 1.52-1.58
33 O 0.1912 0.8172 0.5633  1 P 1.55
34 O 0.9532 0.8694 0.4509  1 P 1.54
35 O 0.9547 0.6648 0.5995  1 P 1.55
36 O 0.9432 0.5731 0.1936  1 P 1.58
37 O 0.9054 0.3585 0.5810  1 P 1.56
38 O 0.8816 0.2142 0.8207  1 P 1.56
39 O 0.8783 0.9882 0.2451  1 P 1.58
40 O 0.8238 0.2566 0.1919  1 P 1.55
41 O 0.0477 0.1119 0.1060  1 P 1.52
42 O 0.0468 0.1306 0.5491  1 P 1.54
43 O 0.0453 0.3352 0.4005  1 P 1.55
44 O 0.0568 0.4269 0.8064  1 P 1.58
45 O 0.0946 0.6415 0.4190  1 P 1.56
46 O 0.1184 0.7858 0.1793  1 P 1.56
47 O 0.1217 0.0118 0.7549  1 P 1.58
48 O 0.1285 0.5899 0.0349  1 P 1.51
49 O 0.1762 0.7434 0.8081  1 P 1.55
50 O 0.9523 0.8881 0.8940  1 P 1.52
51 O 0.2289 0.5235 0.2207  1 P 1.55
52 O 0.2346 0.9535 0.9340  1 P 1.57
53 O 0.2654 0.4535 0.5660  1 P 1.57
54 O 0.2711 0.0235 0.2793  1 P 1.55
55 O 0.3088 0.3172 0.9367  1 P 1.55
56 O 0.3238 0.2434 0.6919  1 P 1.55
57 O 0.3715 0.0899 0.4651  1 P 1.51
58 O 0.3783 0.5118 0.7451  1 P 1.58
59 O 0.3816 0.2858 0.3207  1 P 1.56
60 O 0.4054 0.1415 0.0810  1 P 1.56
61 O 0.4432 0.9269 0.6936  1 P 1.58
62 O 0.4547 0.8352 0.0995  1 P 1.55
63 O 0.4523 0.6119 0.3940  1 P 1.52
64 O 0.4532 0.6306 0.9509  1 P 1.54
65 O 0.5468 0.3694 0.0491  1 P 1.54
66 O 0.5477 0.3881 0.6060  1 P 1.52
67 O 0.5453 0.1648 0.9005  1 P 1.55
68 O 0.5568 0.0731 0.3064  1 P 1.58
69 O 0.5946 0.8585 0.9190  1 P 1.56
70 O 0.6184 0.7142 0.6793  1 P 1.56
71 O 0.6217 0.4882 0.2549  1 P 1.58
72 O 0.6285 0.9101 0.5349  1 P 1.51
73 O 0.6762 0.7566 0.3081  1 P 1.55
74 O 0.6912 0.6828 0.0633  1 P 1.55
75 O 0.7289 0.9765 0.7207  1 P 1.55
76 O 0.7346 0.5465 0.4340  1 P 1.57
77 O 0.7654 0.0465 0.0660  1 P 1.57
78 O 0.7711 0.4765 0.7793  1 P 1.55
79 O 0.8088 0.1828 0.4367  1 P 1.55
80 O 0.8715 0.4101 0.9651  1 P 1.51